Here is a geometry-optimized ThReMo structure from the Alexandria database. Energies are from PBE.

POSCAR file:
```
ThReMo
1.0
5.0501 0.0000 2.8355
1.9668 4.5041 2.4121
0.2521 -0.1844 5.4659
Mo Th Re
2 2 2
direct
0.5000 0.0000 0.5000
0.5000 0.5000 0.0000
0.8777 0.3723 0.3723
0.1223 0.6277 0.6277
0.0000 0.0000 0.0000
0.5000 0.0000 0.0000
```

## Properties
Density (g/cm3): 13.96
Energy of formation (meV/atom): 10

---

Here is a geometry-optimized Th2Re3Mo structure from the Alexandria database. Energies are from PBE.

POSCAR file:
```
Th2Re3Mo
1.0
-0.0765 -5.0098 1.9879
4.6656 2.6991 0.0506
-2.3472 4.4757 2.8630
Mo Re Th
1 3 2
direct
0.0000 0.0000 0.0000
0.5000 0.5000 0.5000
0.0000 0.0000 0.5000
0.5000 0.0000 0.5000
0.7514 0.3745 0.1258
0.2486 0.6255 0.8742
```

## Properties
Density (g/cm3): 15.35
Energy of formation (meV/atom): -14

---

Here is a geometry-optimized ThReMo structure from the Alexandria database. Energies are from PBE.

POSCAR file:
```
ThReMo
1.0
5.3921 0.0000 0.0000
2.6961 4.7593 0.0000
2.6961 0.0000 9.5681
Re Mo Th
4 4 4
direct
0.6258 0.5000 0.7484
0.1242 0.0000 0.7516
0.8758 0.0000 0.2484
0.8742 0.5000 0.2516
0.1784 0.5000 0.6431
0.5716 0.0000 0.8569
0.3216 0.5000 0.3569
0.4284 0.0000 0.1431
0.1720 0.6560 0.0000
0.8280 0.3440 0.0000
0.9220 0.1560 0.5000
0.5780 0.8440 0.5000
```

## Properties
Density (g/cm3): 13.91
Energy of formation (meV/atom): 358

---

Here is a geometry-optimized Ti5Re2Mo4 structure from the Alexandria database. Energies are from PBE.

POSCAR file:
```
Ti5Re2Mo4
1.0
4.3779 0.0000 1.2887
1.7710 6.2613 2.0640
0.3745 0.3262 6.8084
Re Mo Ti
2 4 5
direct
0.1342 0.8658 0.8658
0.8658 0.1342 0.1342
0.3760 0.6240 0.6240
0.0000 0.6772 0.3228
0.6240 0.3760 0.3760
0.0000 0.3228 0.6772
0.2736 0.3995 0.0533
0.7264 0.9467 0.6005
0.2736 0.0533 0.3995
0.7264 0.6005 0.9467
0.5000 0.0000 0.0000
```

## Properties
Density (g/cm3): 9.11
Energy of formation (meV/atom): 181

---

Here is a geometry-optimized Ti4ReMo structure from the Alexandria database. Energies are from PBE.

POSCAR file:
```
Ti4ReMo
1.0
4.2996 0.0000 0.0000
2.1498 3.7087 0.2105
2.1498 0.8251 7.0814
Ti Re Mo
4 1 1
direct
0.6255 0.6258 0.1232
0.3745 0.3742 0.8768
0.1244 0.1246 0.6266
0.8756 0.8754 0.3734
0.0000 0.0000 0.0000
0.5000 0.5000 0.5000
```

## Properties
Density (g/cm3): 7.01
Energy of formation (meV/atom): 314

---

Here is a geometry-optimized Ti4Re4Mo3 structure from the Alexandria database. Energies are from PBE.

POSCAR file:
```
Ti4Re4Mo3
1.0
-2.1684 -1.2374 -1.1866
-1.0878 -1.8126 3.8708
-6.7094 12.3227 1.3677
Mo Ti Re
3 4 4
direct
0.9016 0.3635 0.7275
0.0984 0.6365 0.2725
0.0000 0.0000 0.0000
0.7257 0.0903 0.1804
0.1951 0.2719 0.5436
0.2743 0.9097 0.8196
0.8049 0.7281 0.4564
0.6406 0.4537 0.9073
0.4418 0.1814 0.3627
0.3594 0.5463 0.0927
0.5582 0.8186 0.6373
```

## Properties
Density (g/cm3): 12.00
Energy of formation (meV/atom): -264

---

Here is a geometry-optimized TiRe2Mo structure from the Alexandria database. Energies are from PBE.

POSCAR file:
```
TiRe2Mo
1.0
7.1300 0.0000 0.0000
0.0000 7.1300 0.0000
3.5650 3.5650 2.6291
Ti Mo Re
2 2 4
direct
0.5000 0.5000 0.0000
0.2500 0.7500 0.5000
0.0000 0.0000 0.0000
0.7500 0.2500 0.5000
0.8750 0.8868 0.7500
0.6368 0.1250 0.2500
0.1132 0.6250 0.2500
0.3750 0.3632 0.7500
```

## Properties
Density (g/cm3): 12.83
Energy of formation (meV/atom): 623

---

Here is a geometry-optimized TiReMo2 structure from the Alexandria database. Energies are from PBE.

POSCAR file:
```
TiReMo2
1.0
-5.9537 -3.0495 2.6386
3.0388 -0.2998 6.5103
-2.4324 0.7180 5.1397
Ti Mo Re
2 4 2
direct
0.2500 0.7500 0.5000
0.5000 0.5000 0.0000
0.3750 0.3543 0.7500
0.8750 0.8957 0.7500
0.6457 0.1250 0.2500
0.1043 0.6250 0.2500
0.7500 0.2500 0.5000
0.0000 0.0000 0.0000
```

## Properties
Density (g/cm3): 10.34
Energy of formation (meV/atom): 587